The following is a PBE-GGA calculation of a geometry-optimized Pr3Co3Br structure, from Alexandria via LeMat-Bulk.

## Properties
For the total magnetic moment, the calculation gives 1.2 μB/f.u. Its crystal system is hexagonal. The calculation puts the formation energy (no corrections) at -350 meV per atom.

Cell lengths 9.947, 9.947, 3.938 Å; angles 90.00, 90.00, 120.00 degrees
Sites, in units of the cell vectors:
Pr 0.087 0.378 0.250
Pr 0.291 0.913 0.250
Pr 0.378 0.291 0.750
Pr 0.622 0.709 0.250
Pr 0.709 0.087 0.750
Pr 0.913 0.622 0.750
Co 0.028 0.156 0.750
Co 0.128 0.972 0.750
Co 0.156 0.128 0.250
Co 0.844 0.872 0.750
Co 0.872 0.028 0.250
Co 0.972 0.844 0.250
Br 0.333 0.667 0.750
Br 0.667 0.333 0.250

---

The following is a PBE-GGA calculation of a geometry-optimized NaBi2Pb3 structure, from Alexandria via LeMat-Bulk.

## Properties
For the total magnetic moment, the calculation gives 0.0 μB/f.u. Its crystal system is orthorhombic. For the formation energy, the calculation gives -0.050 eV/atom. The polymorph energy (0 for the lowest one) comes out at 29 meV/atom.

Cell lengths 6.220, 6.220, 5.824 Å; angles 90.00, 90.00, 122.91 degrees
Sites, in units of the cell vectors:
Na 0.000 0.000 0.000
Bi 0.313 0.687 0.000
Bi 0.687 0.313 0.000
Pb 0.166 0.834 0.500
Pb 0.500 0.500 0.500
Pb 0.834 0.166 0.500

---

The following is a PBE-GGA calculation of a geometry-optimized Sc2TaTe structure, from Alexandria via LeMat-Bulk.

## Properties
For the total magnetic moment, the calculation gives 0.6 μB/f.u. Its crystal system is trigonal. The calculation puts the formation energy (no corrections) at 168 meV per atom. The polymorph energy (0 for the lowest one) comes out at 497 meV/atom.

Cell lengths 10.681, 10.681, 10.681 Å; angles 17.52, 17.52, 17.52 degrees
Sites, in units of the cell vectors:
Sc 0.093 0.093 0.093
Sc 0.907 0.907 0.907
Ta 0.500 0.500 0.500
Te 0.000 0.000 0.000

---

The following is a PBE-GGA calculation of a geometry-optimized TaTc2Se structure, from Alexandria via LeMat-Bulk.

## Properties
For the total magnetic moment, the calculation gives 0.0 μB/f.u. Its crystal system is trigonal. The calculation puts the formation energy (no corrections) at 166 meV per atom.

Cell lengths 8.735, 8.735, 8.735 Å; angles 19.38, 19.38, 19.38 degrees
Sites, in units of the cell vectors:
Ta 0.000 0.000 0.000
Tc 0.502 0.502 0.502
Tc 0.756 0.756 0.756
Se 0.250 0.250 0.250

---

The following is a PBE-GGA calculation of a geometry-optimized Pm2SmY5Tm structure, from Alexandria via LeMat-Bulk.

## Properties
For the total magnetic moment, the calculation gives 0.0 μB/f.u. Its crystal system is tetragonal. For the formation energy, the calculation gives 0.255 eV/atom.

Cell lengths 9.981, 9.981, 9.981 Å; angles 128.91, 128.91, 75.16 degrees
Sites, in units of the cell vectors:
Pm 0.118 0.618 0.736
Pm 0.382 0.118 0.500
Pm 0.618 0.882 0.500
Pm 0.882 0.382 0.264
Sm 0.250 0.750 0.500
Sm 0.750 0.250 0.500
Y 0.000 0.000 0.000
Y 0.070 0.152 0.500
Y 0.152 0.652 0.082
Y 0.348 0.430 0.500
Y 0.430 0.930 0.082
Y 0.500 0.500 0.000
Y 0.570 0.070 0.918
Y 0.652 0.570 0.500
Y 0.848 0.348 0.918
Y 0.930 0.848 0.500
Tm 0.250 0.250 0.000
Tm 0.750 0.750 0.000

---

The following is a PBE-GGA calculation of a geometry-optimized PmDy2Pt2 structure, from Alexandria via LeMat-Bulk.

## Properties
For the total magnetic moment, the calculation gives 0.0 μB/f.u. Its crystal system is monoclinic. For the formation energy, the calculation gives -1.018 eV/atom.

Cell lengths 5.517, 4.617, 10.478 Å; angles 90.00, 97.97, 90.00 degrees
Sites, in units of the cell vectors:
Pm 0.064 0.250 0.284
Pm 0.936 0.750 0.716
Dy 0.273 0.750 0.032
Dy 0.380 0.250 0.614
Dy 0.620 0.750 0.386
Dy 0.727 0.250 0.968
Pt 0.159 0.750 0.472
Pt 0.199 0.250 0.867
Pt 0.801 0.750 0.133
Pt 0.841 0.250 0.528

---

The following is a PBE-GGA calculation of a geometry-optimized LiTa2Co2 structure, from Alexandria via LeMat-Bulk.

## Properties
For the total magnetic moment, the calculation gives 0.0 μB/f.u. Its crystal system is tetragonal. For the formation energy, the calculation gives 0.060 eV/atom. The polymorph energy (0 for the lowest one) comes out at 101 meV/atom.

Cell lengths 7.364, 7.364, 2.768 Å; angles 90.00, 90.00, 90.00 degrees
Sites, in units of the cell vectors:
Li 0.000 0.000 0.000
Li 0.500 0.500 0.000
Ta 0.155 0.345 0.000
Ta 0.345 0.845 0.000
Ta 0.655 0.155 0.000
Ta 0.845 0.655 0.000
Co 0.139 0.639 0.500
Co 0.361 0.139 0.500
Co 0.639 0.861 0.500
Co 0.861 0.361 0.500

---

The following is a PBE-GGA calculation of a geometry-optimized GaBiH2 structure, from Alexandria via LeMat-Bulk.

## Properties
For the total magnetic moment, the calculation gives 0.0 μB/f.u. Its crystal system is triclinic. The polymorph energy (0 for the lowest one) comes out at 0 meV/atom.

Cell lengths 3.561, 5.442, 11.182 Å; angles 87.16, 85.30, 72.40 degrees
Sites, in units of the cell vectors:
Ga 0.000 0.000 0.000
Ga 0.000 0.500 0.000
Bi 0.464 0.238 0.184
Bi 0.536 0.762 0.816
H 0.243 0.735 0.474
H 0.279 0.767 0.409
H 0.721 0.233 0.591
H 0.757 0.265 0.526